Below is a relaxed CeThSc2Se4 crystal, with properties calculated at the GGA-PBE level.

a b c (Å): 3.962 7.229 6.855
angles (deg): 71.53 90.00 90.00
Atoms (fractional coordinates):
Ce  0.500  0.500  0.000
Th  0.000  0.500  0.500
Sc  0.000  0.000  0.000
Sc  0.500  0.000  0.500
Se  0.000  0.779  0.741
Se  0.000  0.221  0.259
Se  0.500  0.780  0.239
Se  0.500  0.220  0.761

**Calculated volume**: 23.28 Å³/atom
**Symmetry**: P2/m, No. 10
**Formation energy without anion corrections**: -1625 meV per atom
**Theoretical density**: 6.936 g/cm³